A plane-wave DFT calculation with GGA-PBE was carried out for crystalline Pu2SiI at its relaxed geometry.

Cell: 4.3293 4.3293 21.1498 Å, 90.00 90.00 120.00°
Space group R-3m (No. 166, hexagonal axes)
One atom of each set of equivalent atoms:
Pu 0.0000 0.0000 0.2350 x6
Si 0.0000 0.0000 0.5000 x3
I 0.0000 0.0000 0.0000 x3

Computed properties:
* raw formation energy: -0.46 eV per atom
* E: -37.5 eV per formula unit
* excess energy over the best structure of this formula in the dataset: 6.1 meV/atom